1.
# TaCo2Mo (meta-GGA SCAN, single point on PBEsol structure)
# formation enthalpy at 0 K	-0.107	eV/f.u.
# final energy	-34.046	eV/atom
data_TaCo2Mo
_cell_length_a 5.992
_cell_length_b 5.992
_cell_length_c 5.992
_cell_angle_alpha 90.00
_cell_angle_beta 90.00
_cell_angle_gamma 90.00
_space_group_name_H-M_alt 'F m -3 m'
_space_group_IT_number 225
_space_group_name_Hall '-F 4 2 3'
loop_
_atom_site_label
_atom_site_fract_x
_atom_site_fract_y
_atom_site_fract_z
Ta1 0.000 0.000 0.000
Co1 0.250 0.250 0.250
Mo1 0.000 0.000 0.500

=====

2.
# Ta2CoMo (meta-GGA SCAN, single point on PBEsol structure)
# formation enthalpy at 0 K	-0.694	eV/f.u.
# final energy	-46.513	eV/atom
data_Ta2CoMo
_cell_length_a 6.235
_cell_length_b 6.235
_cell_length_c 6.235
_cell_angle_alpha 90.00
_cell_angle_beta 90.00
_cell_angle_gamma 90.00
_space_group_name_H-M_alt 'F m -3 m'
_space_group_IT_number 225
_space_group_name_Hall '-F 4 2 3'
loop_
_atom_site_label
_atom_site_fract_x
_atom_site_fract_y
_atom_site_fract_z
Ta1 0.250 0.250 0.250
Co1 0.000 0.000 0.000
Mo1 0.000 0.000 0.500

=====

3.
# TaCo2Mo (meta-GGA SCAN, single point on PBEsol structure)
# formation enthalpy at 0 K	0.280	eV/f.u.
# final energy	-33.949	eV/atom
data_TaCo2Mo
_cell_length_a 2.691
_cell_length_b 4.257
_cell_length_c 4.588
_cell_angle_alpha 90.00
_cell_angle_beta 95.63
_cell_angle_gamma 90.00
_space_group_name_H-M_alt 'P 1 m 1'
_space_group_IT_number 6
_space_group_name_Hall 'P -2y'
loop_
_atom_site_label
_atom_site_fract_x
_atom_site_fract_y
_atom_site_fract_z
Ta1 0.000 0.000 0.000
Co1 0.577 0.000 0.486
Co2 0.583 0.500 0.143
Mo1 0.191 0.500 0.622

=====

4.
# TaCoMo2 (meta-GGA SCAN, single point on PBEsol structure)
# formation enthalpy at 0 K	1.154	eV/f.u.
# final energy	-38.126	eV/atom
data_TaCoMo2
_cell_length_a 9.239
_cell_length_b 2.685
_cell_length_c 4.854
_cell_angle_alpha 90.00
_cell_angle_beta 101.88
_cell_angle_gamma 90.00
_space_group_name_H-M_alt 'C 1 m 1'
_space_group_IT_number 8
_space_group_name_Hall 'C -2y'
loop_
_atom_site_label
_atom_site_fract_x
_atom_site_fract_y
_atom_site_fract_z
Ta1 0.000 0.000 0.000
Co1 0.236 0.500 0.182
Mo1 0.219 0.000 0.695
Mo2 0.448 0.000 0.466

=====

5.
# Ta2CoMo (meta-GGA SCAN, single point on PBEsol structure)
# formation enthalpy at 0 K	-0.793	eV/f.u.
# final energy	-46.537	eV/atom
data_Ta2CoMo
_cell_length_a 3.154
_cell_length_b 3.154
_cell_length_c 6.069
_cell_angle_alpha 90.00
_cell_angle_beta 90.00
_cell_angle_gamma 90.00
_space_group_name_H-M_alt 'P 4/m m m'
_space_group_IT_number 123
_space_group_name_Hall '-P 4 2'
loop_
_atom_site_label
_atom_site_fract_x
_atom_site_fract_y
_atom_site_fract_z
Ta1 0.000 0.000 0.243
Co1 0.500 0.500 0.000
Mo1 0.500 0.500 0.500

=====

6.
# TaCo2Mo (meta-GGA SCAN, single point on PBEsol structure)
# formation enthalpy at 0 K	0.873	eV/f.u.
# final energy	-33.801	eV/atom
data_TaCo2Mo
_cell_length_a 3.650
_cell_length_b 3.650
_cell_length_c 7.897
_cell_angle_alpha 90.00
_cell_angle_beta 90.00
_cell_angle_gamma 90.00
_space_group_name_H-M_alt 'I -4 m 2'
_space_group_IT_number 119
_space_group_name_Hall 'I -4 -2'
loop_
_atom_site_label
_atom_site_fract_x
_atom_site_fract_y
_atom_site_fract_z
Ta1 0.000 0.000 0.000
Co1 0.000 0.000 0.500
Co2 0.000 0.500 0.750
Mo1 0.000 0.500 0.250

=====

7.
# TaCoMo2 (meta-GGA SCAN, single point on PBEsol structure)
# formation enthalpy at 0 K	0.217	eV/f.u.
# final energy	-38.360	eV/atom
data_TaCoMo2
_cell_length_a 3.181
_cell_length_b 4.272
_cell_length_c 8.658
_cell_angle_alpha 90.00
_cell_angle_beta 90.00
_cell_angle_gamma 90.00
_space_group_name_H-M_alt 'I m m m'
_space_group_IT_number 71
_space_group_name_Hall '-I 2 2'
loop_
_atom_site_label
_atom_site_fract_x
_atom_site_fract_y
_atom_site_fract_z
Ta1 0.000 0.000 0.000
Co1 0.000 0.000 0.500
Mo1 0.000 0.500 0.251

=====

8.
# TaCo4Mo (meta-GGA SCAN, single point on PBEsol structure)
# formation enthalpy at 0 K	0.088	eV/f.u.
# final energy	-28.433	eV/atom
data_TaCo4Mo
_cell_length_a 6.577
_cell_length_b 6.577
_cell_length_c 6.577
_cell_angle_alpha 90.00
_cell_angle_beta 90.00
_cell_angle_gamma 90.00
_space_group_name_H-M_alt 'F -4 3 m'
_space_group_IT_number 216
_space_group_name_Hall 'F -4 2 3'
loop_
_atom_site_label
_atom_site_fract_x
_atom_site_fract_y
_atom_site_fract_z
Ta1 0.000 0.000 0.000
Co1 0.125 0.125 0.625
Mo1 0.250 0.250 0.250

=====

9.
# TaCoMo2 (meta-GGA SCAN, single point on PBEsol structure)
# formation enthalpy at 0 K	0.695	eV/f.u.
# final energy	-38.241	eV/atom
data_TaCoMo2
_cell_length_a 6.169
_cell_length_b 6.169
_cell_length_c 6.169
_cell_angle_alpha 90.00
_cell_angle_beta 90.00
_cell_angle_gamma 90.00
_space_group_name_H-M_alt 'F m -3 m'
_space_group_IT_number 225
_space_group_name_Hall '-F 4 2 3'
loop_
_atom_site_label
_atom_site_fract_x
_atom_site_fract_y
_atom_site_fract_z
Ta1 0.000 0.000 0.000
Co1 0.000 0.000 0.500
Mo1 0.250 0.250 0.250

=====

10.
# Ta3Co2Mo (meta-GGA SCAN, single point on PBEsol structure)
# formation enthalpy at 0 K	-0.845	eV/f.u.
# final energy	-45.015	eV/atom
data_Ta3Co2Mo
_cell_length_a 4.865
_cell_length_b 8.579
_cell_length_c 8.431
_cell_angle_alpha 90.00
_cell_angle_beta 90.00
_cell_angle_gamma 90.00
_space_group_name_H-M_alt 'F m m 2'
_space_group_IT_number 42
_space_group_name_Hall 'F 2 -2'
loop_
_atom_site_label
_atom_site_fract_x
_atom_site_fract_y
_atom_site_fract_z
Ta1 0.000 0.000 0.000
Ta2 0.000 0.160 0.341
Co1 0.250 0.250 0.092
Mo1 0.000 0.000 0.681

=====

11.
# Ta2CoMo (meta-GGA SCAN, single point on PBEsol structure)
# formation enthalpy at 0 K	0.149	eV/f.u.
# final energy	-46.302	eV/atom
data_Ta2CoMo
_cell_length_a 2.728
_cell_length_b 4.280
_cell_length_c 5.265
_cell_angle_alpha 90.00
_cell_angle_beta 98.61
_cell_angle_gamma 90.00
_space_group_name_H-M_alt 'P 1 2/m 1'
_space_group_IT_number 10
_space_group_name_Hall '-P 2y'
loop_
_atom_site_label
_atom_site_fract_x
_atom_site_fract_y
_atom_site_fract_z
Ta1 0.247 0.000 0.248
Co1 0.500 0.500 0.000
Mo1 0.000 0.500 0.500

=====

12.
# TaCoMo2 (meta-GGA SCAN, single point on PBEsol structure)
# formation enthalpy at 0 K	1.525	eV/f.u.
# final energy	-38.033	eV/atom
data_TaCoMo2
_cell_length_a 2.7340
_cell_length_b 2.7340
_cell_length_c 27.5285
_cell_angle_alpha 90.00
_cell_angle_beta 90.00
_cell_angle_gamma 120.00
_space_group_name_H-M_alt 'R -3 m'
_space_group_IT_number 166
_space_group_name_Hall '-R 3 2"'
loop_
_atom_site_label
_atom_site_fract_x
_atom_site_fract_y
_atom_site_fract_z
Ta1 0.0000 0.0000 0.0000
Co1 0.0000 0.0000 0.5000
Mo1 0.0000 0.0000 0.2413

=====

13.
# TaCoMo2 (meta-GGA SCAN, single point on PBEsol structure)
# formation enthalpy at 0 K	0.287	eV/f.u.
# final energy	-38.343	eV/atom
data_TaCoMo2
_cell_length_a 2.681
_cell_length_b 4.320
_cell_length_c 5.130
_cell_angle_alpha 90.00
_cell_angle_beta 99.40
_cell_angle_gamma 90.00
_space_group_name_H-M_alt 'P 1 m 1'
_space_group_IT_number 6
_space_group_name_Hall 'P -2y'
loop_
_atom_site_label
_atom_site_fract_x
_atom_site_fract_y
_atom_site_fract_z
Ta1 0.000 0.000 0.000
Co1 0.744 0.500 0.233
Mo1 0.252 0.500 0.732
Mo2 0.492 0.000 0.497

=====

14.
# CoTc2Mo (meta-GGA SCAN, single point on PBEsol structure)
# formation enthalpy at 0 K	0.810	eV/f.u.
# final energy	-30.375	eV/atom
data_CoTc2Mo
_cell_length_a 2.677
_cell_length_b 3.667
_cell_length_c 5.469
_cell_angle_alpha 90.00
_cell_angle_beta 90.00
_cell_angle_gamma 90.00
_space_group_name_H-M_alt 'P m m m'
_space_group_IT_number 47
_space_group_name_Hall '-P 2 2'
loop_
_atom_site_label
_atom_site_fract_x
_atom_site_fract_y
_atom_site_fract_z
Co1 0.000 0.000 0.000
Tc1 0.500 0.500 0.225
Mo1 0.000 0.000 0.500

=====

15.
# CoTcMo2 (meta-GGA SCAN, single point on PBEsol structure)
# formation enthalpy at 0 K	1.331	eV/f.u.
# final energy	-30.201	eV/atom
data_CoTcMo2
_cell_length_a 2.7030
_cell_length_b 2.7030
_cell_length_c 26.2378
_cell_angle_alpha 90.00
_cell_angle_beta 90.00
_cell_angle_gamma 120.00
_space_group_name_H-M_alt 'R -3 m'
_space_group_IT_number 166
_space_group_name_Hall '-R 3 2"'
loop_
_atom_site_label
_atom_site_fract_x
_atom_site_fract_y
_atom_site_fract_z
Co1 0.0000 0.0000 0.0000
Tc1 0.0000 0.0000 0.5000
Mo1 0.0000 0.0000 0.2534